Entry from Alexandria: a relaxed CsLaTaAu2 crystal (PBEsol).

Cell lengths 5.105, 5.105, 5.464 Å; angles 90.00, 90.00, 90.00 degrees
Atoms (fractional coordinates):
Cs (0.000, 0.000, 0.500)
La (0.500, 0.500, 0.500)
Au (0.000, 0.500, 0.000)
Au (0.500, 0.000, 0.000)
Ta (0.000, 0.000, 0.000)

Calculated values
Formation energy from the elements ... 0.80 eV/atom
Density of states at the Fermi level ... 4.06 states/eV/f.u.
Spin magnetization ... 0.00 μB/f.u.
DFT total energy ... -4.539 eV/atom